First-principles (GGA-PBE) data for a relaxed Na2HgAu crystal, as listed in the Alexandria database.

Geometry as CIF:
```
data_Na2HgAu
_space_group_name_H-M_alt 'P 4/m m m'
_space_group_IT_number 123
_space_group_name_Hall '-P 4 2'
_cell_length_a 3.767
_cell_length_b 3.767
_cell_length_c 6.721
_cell_angle_alpha 90.00
_cell_angle_beta 90.00
_cell_angle_gamma 90.00
loop_
_atom_site_label
_atom_site_type_symbol
_atom_site_fract_x
_atom_site_fract_y
_atom_site_fract_z
Na1 Na 0.000 0.000 0.231
Hg1 Hg 0.500 0.500 0.500
Au1 Au 0.500 0.500 0.000
```

Output
D(E_F), states/eV/f.u.: 1.04
Total magnetic moment, μB per formula unit: 0.00
VASP energy, Ry per atom: -0.1343